Record 1
# MgMn2Zn2, optimized geometry, DFT GGA-PBE
data_MgMn2Zn2
_chemical_formula_sum 'Mg2 Mn4 Zn4'
_cell_length_a 3.6868
_cell_length_b 3.6868
_cell_length_c 12.5497
_cell_angle_alpha 90.00
_cell_angle_beta 90.00
_cell_angle_gamma 90.00
_symmetry_space_group_name_H-M 'I 4/m m m'
_symmetry_Int_Tables_number 139
_symmetry_space_group_name_Hall '-I 4 2'
loop_
_atom_site_label
_atom_site_type_symbol
_atom_site_fract_x
_atom_site_fract_y
_atom_site_fract_z
_atom_site_occupancy
Mg1 Mg 0.0000 0.0000 0.0000 1
Mn1 Mn 0.0000 0.0000 0.4001 1
Zn1 Zn 0.0000 0.5000 0.2500 1
# Energy of formation (eV per atom): 0.363
# DOS at the Fermi energy (states/eV/cell): 5.9


Record 2
# TeIr2Se, optimized geometry, DFT GGA-PBE
data_TeIr2Se
_chemical_formula_sum 'Te2 Ir4 Se2'
_cell_length_a 2.9618
_cell_length_b 5.2495
_cell_length_c 10.1626
_cell_angle_alpha 90.00
_cell_angle_beta 90.00
_cell_angle_gamma 90.00
_symmetry_space_group_name_H-M 'C m m 2'
_symmetry_Int_Tables_number 35
loop_
_symmetry_equiv_pos_as_xyz
'x,y,z'
'-x,-y,z'
'-x,y,z'
'x,-y,z'
'x+1/2,y+1/2,z'
'-x+1/2,-y+1/2,z'
'-x+1/2,y+1/2,z'
'x+1/2,-y+1/2,z'
loop_
_atom_site_label
_atom_site_type_symbol
_atom_site_fract_x
_atom_site_fract_y
_atom_site_fract_z
_atom_site_occupancy
Te1 Te 0.0000 0.0000 0.0000 1
Ir1 Ir 0.0000 0.0000 0.4508 1
Ir2 Ir 0.0000 0.5000 0.2250 1
Se1 Se 0.0000 0.5000 0.6487 1
# DOS at the Fermi energy (states/eV/cell): 9.5
# Formation energy from raw total energies (eV/atom): 0.586


Record 3
# SiRuC3, optimized geometry, DFT GGA-PBE
data_SiRuC3
_chemical_formula_sum 'Si1 Ru1 C3'
_cell_length_a 3.9865
_cell_length_b 3.9865
_cell_length_c 3.9865
_cell_angle_alpha 90.00
_cell_angle_beta 90.00
_cell_angle_gamma 90.00
_symmetry_space_group_name_H-M 'P m -3 m'
_symmetry_Int_Tables_number 221
_symmetry_space_group_name_Hall '-P 4 2 3'
loop_
_atom_site_label
_atom_site_type_symbol
_atom_site_fract_x
_atom_site_fract_y
_atom_site_fract_z
_atom_site_occupancy
Si1 Si 0.0000 0.0000 0.0000 1
Ru1 Ru 0.5000 0.5000 0.5000 1
C1 C 0.0000 0.5000 0.5000 1
# DOS at the Fermi energy (states/eV/cell): 3.8
# Formation energy from raw total energies (eV/atom): 2.259


Record 4
# LiP2Rh, optimized geometry, DFT GGA-PBE
data_LiP2Rh
_chemical_formula_sum 'Li4 P8 Rh4'
_cell_length_a 5.8943
_cell_length_b 5.8943
_cell_length_c 9.5157
_cell_angle_alpha 90.00
_cell_angle_beta 90.00
_cell_angle_gamma 90.00
_symmetry_space_group_name_H-M 'I -4 2 d'
_symmetry_Int_Tables_number 122
_symmetry_space_group_name_Hall 'I -4 2bw'
loop_
_atom_site_label
_atom_site_type_symbol
_atom_site_fract_x
_atom_site_fract_y
_atom_site_fract_z
_atom_site_occupancy
Li1 Li 0.0000 0.0000 0.0000 1
P1 P 0.1995 0.2500 0.6250 1
Rh1 Rh 0.0000 0.0000 0.5000 1
# Energy of formation (eV per atom): -0.159
# DOS at the Fermi energy (states/eV/cell): 7.8


Number 1: total moment 13.987 μB/cell, E -20.7 eV per formula unit, E above lowest polymorph 265 meV/atom. Number 2: total moment 0.000 μB/cell, E -22.0 eV per formula unit, E above lowest polymorph 565 meV/atom. Number 3: total moment 0.000 μB/cell, E -31.1 eV per formula unit, E above lowest polymorph 136 meV/atom. Number 4: total moment 0.000 μB/cell, E -20.7 eV per formula unit, E above lowest polymorph 275 meV/atom.